Material: TaZn2Ag
Method: DFT, PBE
State: optimized geometry

The structure in extended XYZ format:
```
4
Lattice="2.874 0.000 0.000 0.000 2.874 0.000 0.000 0.000 7.814" Properties=species:S:1:pos:R:3 pbc="T T T"
Ta 0.000 0.000 0.000
Zn 1.437 1.437 1.977
Zn 1.437 1.437 5.837
Ag 0.000 0.000 3.907
```

Symmetry ... P4/mmm, No. 123
ΔE_f ... -0.014 eV/atom
Offset from the most stable computed form ... 0 meV/atom

Material: Mg2ZrRu
Method: DFT, PBE
State: optimized geometry

The structure in extended XYZ format:
```
4
Lattice="2.936 0.000 0.000 0.000 4.499 0.000 0.000 0.000 5.556" Properties=species:S:1:pos:R:3 pbc="T T T"
Mg 0.000 0.000 1.290
Mg 0.000 0.000 4.265
Zr 1.468 2.249 2.778
Ru 1.468 2.249 0.000
```

Symmetry ... Pmmm, No. 47
ΔE_f ... 0.035 eV/atom
Offset from the most stable computed form ... 231 meV/atom

Material: MgCd2In
Method: DFT, PBE
State: optimized geometry

The structure in extended XYZ format:
```
4
Lattice="1.640 0.947 10.038 -1.640 0.947 10.038 0.000 -1.894 10.038" Properties=species:S:1:pos:R:3 pbc="T T T"
Mg 0.000 0.000 0.000
Cd 0.000 0.000 7.636
Cd 0.000 0.000 22.480
In 0.000 0.000 15.058
```

Symmetry ... R-3m, No. 166
ΔE_f ... -0.014 eV/atom